(1)
{
  "formula": "TeIrRuN2",
  "functional": "PBE-GGA",
  "state": "optimized geometry",
  "magnetic_moment_mub_per_cell": 1.5,
  "polymorph_energy_mev_per_atom": 12,
  "e_form_raw_ev_per_atom": 1.13,
  "lattice_angstrom": [[3.753, 0.000, 0.000], [0.000, 3.753, 0.000], [0.000, 0.000, 6.414]],
  "species": ["Te", "Ir", "Ru", "N", "N"],
  "frac_coords": [[0.000, 0.000, 0.000], [0.000, 0.000, 0.500], [0.500, 0.500, 0.000], [0.000, 0.500, 0.500], [0.500, 0.000, 0.500]]
}

---

(2)
{
  "formula": "TiIrRu2N",
  "functional": "PBE-GGA",
  "state": "optimized geometry",
  "magnetic_moment_mub_per_cell": 2.6,
  "e_form_raw_ev_per_atom": 2.23,
  "lattice_angstrom": [[4.679, 0.000, 0.000], [0.000, 4.679, 0.000], [0.000, 0.000, 4.775]],
  "species": ["Ti", "Ir", "Ru", "Ru", "N"],
  "frac_coords": [[0.000, 0.000, 0.000], [0.000, 0.000, 0.500], [0.000, 0.500, 0.500], [0.500, 0.000, 0.500], [0.500, 0.500, 0.000]]
}

---

(3)
{
  "formula": "IrRuW2N",
  "functional": "PBE-GGA",
  "state": "optimized geometry",
  "magnetic_moment_mub_per_cell": 0.0,
  "e_form_raw_ev_per_atom": -0.04,
  "lattice_angstrom": [[4.081, 0.000, 0.000], [0.000, 4.081, 0.000], [0.000, 0.000, 4.047]],
  "species": ["Ir", "Ru", "W", "W", "N"],
  "frac_coords": [[0.000, 0.000, 0.000], [0.500, 0.500, 0.000], [0.000, 0.500, 0.500], [0.500, 0.000, 0.500], [0.500, 0.500, 0.500]]
}